7
Lattice="2.981 0.000 -0.816 -0.704 4.751 -2.574 -0.009 -0.234 5.821" Properties=species:S:1:pos:R:3 comment="TiMn2O4 (GGA+U, relaxed)" final_energy_ev_per_atom=-8.275 de_polymorph_mev_per_atom=93 pbc="T T T"
Mn 0.706 1.274 2.580
Mn 1.562 3.243 -0.149
O 0.603 3.330 2.203
O 1.665 1.186 0.229
O -0.244 3.940 -0.891
O 2.512 0.577 3.323
Ti 0.000 0.000 0.000